# Ni2OsBr (SCAN, single point on PBEsol structure)
# Calculated total energy in eV per atom: -29.617
# Energy above the lowest structure with this stoichiometry in eV/atom: 0.207
# Crystal system: cubic
data_Ni2OsBr
_space_group_name_H-M_alt 'P 1'
_space_group_IT_number 1
_cell_length_a 4.2402
_cell_length_b 4.2402
_cell_length_c 4.2402
_cell_angle_alpha 60.00
_cell_angle_beta 60.00
_cell_angle_gamma 60.00
loop_
_space_group_symop_operation_xyz
'x,y,z'
loop_
_atom_site_label
_atom_site_fract_x
_atom_site_fract_y
_atom_site_fract_z
_atom_site_occupancy
Br1 0.0000 0.0000 0.0000 1
Ni1 0.2500 0.2500 0.2500 1
Ni2 0.7500 0.7500 0.7500 1
Os1 0.5000 0.5000 0.5000 1